(1)
A plane-wave DFT calculation with PBE-GGA was carried out for a geometry-optimized Na2BeAsSe4 structure.

## Properties
- uncorrected formation energy (eV per atom) = -0.60

The structure in POSCAR format:
```
Na2BeAsSe4
1.0
6.697 0.000 0.000
0.000 6.697 0.000
0.000 0.000 9.164
Na Be As Se
4 2 2 8
direct
0.000 0.000 0.000
0.000 0.500 0.250
0.500 0.000 0.750
0.500 0.500 0.500
0.000 0.000 0.500
0.500 0.500 0.000
0.000 0.500 0.750
0.500 0.000 0.250
0.183 0.764 0.608
0.236 0.183 0.392
0.264 0.317 0.892
0.317 0.736 0.108
0.683 0.264 0.108
0.736 0.683 0.892
0.764 0.817 0.392
0.817 0.236 0.608
```

=====

(2)
A plane-wave DFT calculation with PBE-GGA was carried out for a geometry-optimized La2TbZn structure.

## Properties
- calculated formation energy (eV per atom) = -0.157

The structure in POSCAR format:
```
La2TbZn
1.0
5.235 0.000 0.000
0.000 5.235 0.000
0.000 0.000 17.552
La Tb Zn
8 4 4
direct
0.000 0.000 0.143
0.000 0.000 0.857
0.000 0.500 0.000
0.000 0.500 0.500
0.500 0.000 0.000
0.500 0.000 0.500
0.500 0.500 0.357
0.500 0.500 0.643
0.000 0.000 0.348
0.000 0.000 0.652
0.500 0.500 0.152
0.500 0.500 0.848
0.000 0.500 0.250
0.000 0.500 0.750
0.500 0.000 0.250
0.500 0.000 0.750
```

=====

(3)
A plane-wave DFT calculation with PBE-GGA was carried out for a geometry-optimized Cs2K4ZnAs2 structure.

## Properties
- calculated formation energy (eV per atom) = -0.227

The structure in POSCAR format:
```
Cs2K4ZnAs2
1.0
7.895 -4.193 0.000
7.895 4.193 0.000
-2.250 0.000 5.674
Cs K Zn As
2 4 1 2
direct
0.139 0.139 0.094
0.861 0.861 0.906
0.143 0.586 0.394
0.414 0.857 0.606
0.586 0.143 0.394
0.857 0.414 0.606
0.500 0.500 0.000
0.336 0.336 0.860
0.664 0.664 0.140
```

=====

(4)
A plane-wave DFT calculation with PBE-GGA was carried out for a geometry-optimized Ba2NpNbS6 structure.

## Properties
- uncorrected formation energy (eV per atom) = -1.52

The structure in POSCAR format:
```
Ba2NpNbS6
1.0
3.533 2.040 12.008
-3.533 2.040 12.008
0.000 -4.079 12.008
Ba Np Nb S
4 2 2 12
direct
0.131 0.131 0.131
0.294 0.294 0.294
0.706 0.706 0.706
0.869 0.869 0.869
0.415 0.415 0.415
0.585 0.585 0.585
0.000 0.000 0.000
0.500 0.500 0.500
0.122 0.629 0.629
0.203 0.203 0.714
0.203 0.714 0.203
0.286 0.797 0.797
0.371 0.371 0.878
0.371 0.878 0.371
0.629 0.122 0.629
0.629 0.629 0.122
0.714 0.203 0.203
0.797 0.286 0.797
0.797 0.797 0.286
0.878 0.371 0.371
```

=====

(5)
A plane-wave DFT calculation with PBE-GGA was carried out for a geometry-optimized ZrVAg2 structure.

## Properties
- calculated formation energy (eV per atom) = 0.277

The structure in POSCAR format:
```
ZrVAg2
1.0
6.702 0.000 0.000
0.000 6.702 0.000
0.000 0.000 6.702
Zr V Ag
4 4 8
direct
0.000 0.000 0.000
0.000 0.500 0.500
0.500 0.000 0.500
0.500 0.500 0.000
0.000 0.000 0.500
0.000 0.500 0.000
0.500 0.000 0.000
0.500 0.500 0.500
0.250 0.250 0.250
0.250 0.250 0.750
0.250 0.750 0.250
0.250 0.750 0.750
0.750 0.250 0.250
0.750 0.250 0.750
0.750 0.750 0.250
0.750 0.750 0.750
```

=====

(6)
A plane-wave DFT calculation with PBE-GGA was carried out for a geometry-optimized Ba2CoMo structure.

## Properties
- calculated formation energy (eV per atom) = 1.247

The structure in POSCAR format:
```
Ba2CoMo
1.0
7.638 0.000 0.000
0.000 7.638 0.000
0.000 0.000 7.638
Ba Co Mo
8 4 4
direct
0.000 0.000 0.000
0.000 0.500 0.500
0.250 0.250 0.250
0.250 0.750 0.750
0.500 0.000 0.500
0.500 0.500 0.000
0.750 0.250 0.750
0.750 0.750 0.250
0.000 0.000 0.500
0.000 0.500 0.000
0.500 0.000 0.000
0.500 0.500 0.500
0.250 0.250 0.750
0.250 0.750 0.250
0.750 0.250 0.250
0.750 0.750 0.750
```

=====

(7)
A plane-wave DFT calculation with PBE-GGA was carried out for a geometry-optimized Hf3TiTl structure.

## Properties
- calculated formation energy (eV per atom) = 0.047

The structure in POSCAR format:
```
Hf3TiTl
1.0
7.442 -1.584 0.000
7.442 1.584 0.000
-3.238 0.000 9.209
Hf Ti Tl
6 2 2
direct
0.051 0.051 0.153
0.359 0.359 0.532
0.362 0.362 0.080
0.638 0.638 0.920
0.641 0.641 0.468
0.949 0.949 0.847
0.037 0.037 0.641
0.963 0.963 0.359
0.253 0.253 0.753
0.747 0.747 0.247
```

=====

(8)
A plane-wave DFT calculation with PBE-GGA was carried out for a geometry-optimized CePr4O10 structure.

## Properties
- uncorrected formation energy (eV per atom) = -2.74

The structure in POSCAR format:
```
CePr4O10
1.0
-1.973 1.973 14.629
1.973 -1.973 14.629
1.973 1.973 -14.629
Ce Pr O
1 4 10
direct
0.000 0.000 0.000
0.199 0.199 0.000
0.405 0.405 0.000
0.595 0.595 0.000
0.801 0.801 0.000
0.046 0.546 0.500
0.148 0.648 0.500
0.250 0.750 0.500
0.352 0.852 0.500
0.454 0.954 0.500
0.546 0.046 0.500
0.648 0.148 0.500
0.750 0.250 0.500
0.852 0.352 0.500
0.954 0.454 0.500
```

=====

(9)
A plane-wave DFT calculation with PBE-GGA was carried out for a geometry-optimized FeBAu2I structure.

## Properties
- uncorrected formation energy (eV per atom) = 0.99

The structure in POSCAR format:
```
FeBAu2I
1.0
5.090 0.000 0.000
0.000 5.090 0.000
0.000 0.000 3.855
Fe B Au I
1 1 2 1
direct
0.000 0.000 0.000
0.000 0.000 0.500
0.000 0.500 0.000
0.500 0.000 0.000
0.500 0.500 0.500
```

=====

(10)
A plane-wave DFT calculation with PBE-GGA was carried out for a geometry-optimized BaNaN2 structure.

## Properties
- uncorrected formation energy (eV per atom) = 0.83

The structure in POSCAR format:
```
BaNaN2
1.0
4.143 0.000 0.000
-2.071 3.588 0.000
0.000 0.000 21.720
Ba Na N
3 3 6
direct
0.000 0.000 0.000
0.333 0.667 0.667
0.667 0.333 0.333
0.000 0.000 0.500
0.333 0.667 0.167
0.667 0.333 0.833
0.000 0.000 0.395
0.000 0.000 0.605
0.333 0.667 0.062
0.333 0.667 0.272
0.667 0.333 0.728
0.667 0.333 0.938
```

=====

(11)
A plane-wave DFT calculation with PBE-GGA was carried out for a geometry-optimized SmPuSc2Se4 structure.

## Properties
- uncorrected formation energy (eV per atom) = -1.64

The structure in POSCAR format:
```
SmPuSc2Se4
1.0
6.944 0.000 0.000
0.000 3.983 0.000
-2.274 0.000 6.614
Sm Pu Sc Se
1 1 2 4
direct
0.000 0.000 0.000
0.500 0.500 0.000
0.000 0.500 0.500
0.500 0.000 0.500
0.244 0.000 0.729
0.259 0.500 0.272
0.741 0.500 0.728
0.756 0.000 0.271
```

=====

no.,D(E_F) (states/eV/cell)
1,9.71
2,16.79
3,1.00
4,10.69
5,15.86
6,23.43
7,8.87
8,13.11
9,4.36
10,8.43
11,10.02